#P
BeInRu3 | Alexandria via LeMat-Bulk | GGA-PBE | optimized geometry; magnetization = 0.73 μB/cell; SG = Pm-3m, No. 221
1.0
-1.906 3.721 0.284
-2.747 -1.183 -2.934
-2.525 -1.521 2.977
Be In Ru
1 1 3
Direct
0.000 0.000 0.000
0.500 0.500 0.500
0.500 0.000 0.000
0.000 0.500 0.000
0.000 0.000 0.500

---

#Q
BeInRu3 | Alexandria via LeMat-Bulk | GGA-PBE | optimized geometry; magnetization = 4.99 μB/cell; SG = Pm-3m, No. 221
1.0
-2.163 -1.712 3.995
-0.685 -4.272 -2.202
4.292 -1.545 1.661
Ru In Be
3 1 1
Direct
0.500 0.000 0.000
0.000 0.000 0.500
0.000 0.500 0.000
0.000 0.000 0.000
0.500 0.500 0.500

---

Most stable structure - #P; separation to the second - 1951 meV/atom.